Entry 1:
# Pm2Pr5SmTm

An optimized crystal structure of Pm2Pr5SmTm (GGA-PBE, the Alexandria database). Values from VASP.

## Properties
DOS at the Fermi energy ... 15.0 states/eV/f.u.
Total magnetization ... 0.00 μB/f.u.
Space group ... I4/mcm
E ... -4.45 eV per atom

The structure in Quantum ESPRESSO input format:
```
&SYSTEM
  ibrav = 0, nat = 18, ntyp = 4
/
ATOMIC_SPECIES
Pr 140.91 Pr.upf
Pm 145.00 Pm.upf
Sm 150.36 Sm.upf
Tm 168.93 Tm.upf
ATOMIC_POSITIONS crystal
Pr 0.356 0.856 0.283
Pr 0.427 0.356 0.283
Pr 0.000 0.000 0.000
Pr 0.927 0.427 0.283
Pr 0.573 0.644 0.717
Pr 0.500 0.500 0.000
Pr 0.073 0.573 0.717
Pr 0.144 0.073 0.717
Pr 0.644 0.144 0.717
Pr 0.856 0.927 0.283
Pm 0.881 0.619 0.000
Pm 0.619 0.119 0.000
Pm 0.119 0.381 0.000
Pm 0.381 0.881 0.000
Sm 0.250 0.250 0.500
Sm 0.750 0.750 0.500
Tm 0.250 0.750 0.500
Tm 0.750 0.250 0.500
CELL_PARAMETERS angstrom
-7.385 4.569 -1.297
-4.106 -7.347 -2.501
3.497 -0.021 9.733
```

Entry 2:
# SmEu2

An optimized crystal structure of SmEu2 (GGA-PBE, the Alexandria database). Values from VASP.

## Properties
DOS at the Fermi energy ... 5.2 states/eV/f.u.
Total magnetization ... 15.92 μB/f.u.
E above lowest polymorph ... 218 meV/atom
Space group ... Fd-3m

The structure in Quantum ESPRESSO input format:
```
&SYSTEM
  ibrav = 0, nat = 6, ntyp = 2
/
ATOMIC_SPECIES
Sm 150.36 Sm.upf
Eu 151.96 Eu.upf
ATOMIC_POSITIONS crystal
Sm 0.000 0.000 0.000
Sm 0.250 0.250 0.250
Eu 0.625 0.125 0.625
Eu 0.625 0.625 0.625
Eu 0.625 0.625 0.125
Eu 0.125 0.625 0.625
CELL_PARAMETERS angstrom
-2.258 6.371 1.542
-4.903 2.977 -3.894
-6.385 0.892 2.550
```

Entry 3:
# CePm8Pr4

An optimized crystal structure of CePm8Pr4 (GGA-PBE, the Alexandria database). Values from VASP.

## Properties
DOS at the Fermi energy ... 23.2 states/eV/f.u.
Total magnetization ... 2.28 μB/f.u.
Space group ... R-3m
E ... -4.36 eV per atom

The structure in Quantum ESPRESSO input format:
```
&SYSTEM
  ibrav = 0, nat = 13, ntyp = 3
/
ATOMIC_SPECIES
Pm 145.00 Pm.upf
Pr 140.91 Pr.upf
Ce 140.12 Ce.upf
ATOMIC_POSITIONS crystal
Pm 0.760 0.243 0.760
Pm 0.243 0.760 0.760
Pm 0.240 0.240 0.240
Pm 0.760 0.760 0.760
Pm 0.760 0.760 0.243
Pm 0.240 0.240 0.757
Pm 0.240 0.757 0.240
Pm 0.757 0.240 0.240
Pr 0.500 0.500 0.000
Pr 0.000 0.000 0.000
Pr 0.500 0.000 0.500
Pr 0.000 0.500 0.500
Ce 0.500 0.500 0.500
CELL_PARAMETERS angstrom
7.725 -1.182 1.341
0.917 7.761 1.341
-1.553 -1.182 7.685
```

Entry 4:
# La2CdSi

An optimized crystal structure of La2CdSi (GGA-PBE, the Alexandria database). Values from VASP.

## Properties
DOS at the Fermi energy ... 3.9 states/eV/f.u.
Total magnetization ... 0.00 μB/f.u.
Space group ... P4mm
E ... -4.12 eV per atom

The structure in Quantum ESPRESSO input format:
```
&SYSTEM
  ibrav = 0, nat = 4, ntyp = 3
/
ATOMIC_SPECIES
Si 28.09 Si.upf
La 138.91 La.upf
Cd 112.41 Cd.upf
ATOMIC_POSITIONS crystal
Si 0.000 0.000 0.531
La 0.000 0.000 0.954
La 0.500 0.500 0.314
Cd 0.500 0.500 0.701
CELL_PARAMETERS angstrom
3.528 0.029 0.000
-0.030 3.528 0.000
0.000 0.000 9.068
```

Entry 5:
# Tb14CeEr

An optimized crystal structure of Tb14CeEr (GGA-PBE, the Alexandria database). Values from VASP.

## Properties
DOS at the Fermi energy ... 22.2 states/eV/f.u.
Total magnetization ... 0.86 μB/f.u.
Space group ... P4/mmm
E ... -4.68 eV per atom

The structure in Quantum ESPRESSO input format:
```
&SYSTEM
  ibrav = 0, nat = 16, ntyp = 3
/
ATOMIC_SPECIES
Tb 158.93 Tb.upf
Ce 140.12 Ce.upf
Er 167.26 Er.upf
ATOMIC_POSITIONS crystal
Tb 0.375 0.625 0.500
Tb 0.626 0.374 0.249
Tb 0.375 0.125 0.000
Tb 0.124 0.374 0.751
Tb 0.626 0.876 0.249
Tb 0.875 0.625 0.500
Tb 0.626 0.876 0.751
Tb 0.124 0.876 0.751
Tb 0.124 0.374 0.249
Tb 0.875 0.625 0.000
Tb 0.375 0.125 0.500
Tb 0.124 0.876 0.249
Tb 0.875 0.125 0.500
Tb 0.626 0.374 0.751
Ce 0.875 0.125 0.000
Er 0.375 0.625 0.000
CELL_PARAMETERS angstrom
-1.132 0.684 6.991
-2.865 -6.510 0.173
9.061 -3.938 1.852
```

Entry 6:
# Zr2BeSi

An optimized crystal structure of Zr2BeSi (GGA-PBE, the Alexandria database). Values from VASP.

## Properties
DOS at the Fermi energy ... 5.1 states/eV/f.u.
Total magnetization ... 0.00 μB/f.u.
E above lowest polymorph ... 435 meV/atom
Space group ... Fm-3m

The structure in Quantum ESPRESSO input format:
```
&SYSTEM
  ibrav = 0, nat = 4, ntyp = 3
/
ATOMIC_SPECIES
Be 9.01 Be.upf
Zr 91.22 Zr.upf
Si 28.09 Si.upf
ATOMIC_POSITIONS crystal
Be 0.000 0.000 0.000
Zr 0.250 0.250 0.250
Zr 0.750 0.750 0.750
Si 0.500 0.500 0.500
CELL_PARAMETERS angstrom
0.000 3.239 3.239
3.239 0.000 3.239
3.239 3.239 0.000
```

Entry 7:
# Ca2InPd3

An optimized crystal structure of Ca2InPd3 (GGA-PBE, the Alexandria database). Values from VASP.

## Properties
DOS at the Fermi energy ... 2.3 states/eV/f.u.
Total magnetization ... 0.00 μB/f.u.
Space group ... Immm
E ... -4.19 eV per atom

The structure in Quantum ESPRESSO input format:
```
&SYSTEM
  ibrav = 0, nat = 6, ntyp = 3
/
ATOMIC_SPECIES
Pd 106.42 Pd.upf
Ca 40.08 Ca.upf
In 114.82 In.upf
ATOMIC_POSITIONS crystal
Pd 0.640 0.640 0.280
Pd 0.000 0.000 0.000
Pd 0.360 0.360 0.720
Ca 0.677 0.177 0.355
Ca 0.323 0.823 0.645
In 0.000 0.500 0.000
CELL_PARAMETERS angstrom
4.845 0.000 0.000
0.000 5.593 0.000
-2.422 -2.796 4.924
```

Entry 8:
# Mg2AgPd

An optimized crystal structure of Mg2AgPd (GGA-PBE, the Alexandria database). Values from VASP.

## Properties
DOS at the Fermi energy ... 1.1 states/eV/f.u.
Total magnetization ... 0.00 μB/f.u.
Space group ... P4/mmm
E ... -3.30 eV per atom

The structure in Quantum ESPRESSO input format:
```
&SYSTEM
  ibrav = 0, nat = 4, ntyp = 3
/
ATOMIC_SPECIES
Mg 24.30 Mg.upf
Ag 107.87 Ag.upf
Pd 106.42 Pd.upf
ATOMIC_POSITIONS crystal
Mg 0.500 0.500 0.270
Mg 0.500 0.500 0.730
Ag 0.000 0.000 0.000
Pd 0.000 0.000 0.500
CELL_PARAMETERS angstrom
3.139 0.000 0.000
0.000 3.139 0.000
0.000 0.000 7.060
```